Entry 1:
This record from the Alexandria database describes an optimized crystal structure of HoAsClO4. The functional is GGA-PBE.

Cell: 11.0428 6.6344 6.7932 Å, 90.00 102.60 90.00°
Closest atoms and distances in Å follow each position.
Space group C2/m (No. 12)
Inequivalent atoms, fractional coordinates:
Ho1 0.2089 0.0000 0.3448 x4  4 O 2.15-2.28
As1 0.1472 0.0000 0.7810 x4  4 O 1.69-1.74
Cl1 0.0263 0.5000 0.3687 x4  1 Cl 1.99
O1 0.0101 0.0000 0.2517 x4  1 As 1.70
O2 0.1959 0.1937 0.6435 x8  1 As 1.74
O3 0.2213 0.0000 0.0260 x4  1 As 1.69

Values from the calculation:
* uncorrected formation energy: -1.920 eV/atom
* crystal system: monoclinic
* DOS at the Fermi energy: 0.00 states/eV per atom

=====

Entry 2:
This record from the Alexandria database describes an optimized crystal structure of Ta2NiPd. The functional is GGA-PBE.

Cell: 3.8906 3.8906 18.0616 Å, 90.00 90.00 90.00°
Closest atoms and distances in Å follow each position.
Space group I-42d (No. 122)
Inequivalent atoms, fractional coordinates:
Ta1 0.2429 0.2500 0.1250 x8  2 Ni 2.63, 2 Pd 2.65, 4 Ta 2.71-2.79
Ni1 0.0000 0.0000 0.0000 x4  4 Ta 2.63, 4 Pd 2.75
Pd1 0.0000 0.0000 0.5000 x4  4 Ta 2.65, 4 Ni 2.75

Values from the calculation:
* ΔE_f: 0.38 eV/atom
* crystal system: tetragonal
* DOS at the Fermi energy: 0.81 states/eV per atom

=====

Entry 3:
This record from the Alexandria database describes an optimized crystal structure of BPdSe2. The functional is GGA-PBE.

Cell: 4.1581 4.1581 18.4137 Å, 90.00 90.00 120.00°
Closest atoms and distances in Å follow each position.
Space group R-3m (No. 166, hexagonal axes)
Inequivalent atoms, fractional coordinates:
B1 0.0000 0.0000 0.0000 x3  2 Se 1.84
Pd1 0.0000 0.0000 0.5000 x3  6 Se 2.70
Se1 0.0000 0.0000 0.0997 x6  1 B 1.84

Values from the calculation:
* uncorrected formation energy: 0.190 eV/atom
* crystal system: trigonal
* relative energy among the computed polymorphs: 0.93 eV/f.u.
* DOS at the Fermi energy: 0.49 states/eV per atom

=====

Entry 4:
This record from the Alexandria database describes an optimized crystal structure of Mg2ZnOs. The functional is GGA-PBE.

Cell: 2.7451 4.6547 5.0576 Å, 90.00 90.11 90.00°
Closest atoms and distances in Å follow each position.
Space group Pm (No. 6)
Inequivalent atoms, fractional coordinates:
Mg1 0.0000 0.0000 0.0000 x1  4 Zn 2.74-3.02, 4 Mg 2.75-2.89, 4 Os 2.83-2.84
Mg2 0.0042 0.5000 0.6612 x1  4 Mg 2.75-2.89, 4 Os 2.83-2.92, 4 Zn 2.87
Zn1 0.5019 0.0000 0.4692 x1  8 Mg 2.74-3.02, 2 Zn 2.75, 2 Os 2.77
Os1 0.5021 0.5000 0.1708 x1  2 Os 2.75, 2 Zn 2.77, 8 Mg 2.83-2.92

Values from the calculation:
* ΔE_f: 0.07 eV/atom
* crystal system: monoclinic
* DOS at the Fermi energy: 0.28 states/eV per atom

=====

Entry 5:
This record from the Alexandria database describes an optimized crystal structure of Ca2ScTl. The functional is GGA-PBE.

Cell: 12.8799 3.8278 5.5575 Å, 90.00 115.53 90.00°
Closest atoms and distances in Å follow each position.
Space group Cm (No. 8)
Inequivalent atoms, fractional coordinates:
Ca1 0.0000 0.0000 0.0000 x2  2 Tl 3.30, 4 Sc 3.47
Ca2 0.2120 0.0000 0.7110 x2  4 Tl 3.38, 2 Ca 3.71-3.72, 2 Sc 3.76-3.77
Sc1 0.4302 0.0000 0.4302 x2  2 Tl 3.00
Tl1 0.2309 0.5000 0.2294 x2  2 Sc 3.00, 2 Ca 3.30

Values from the calculation:
* ΔE_f: -0.11 eV/atom
* crystal system: monoclinic
* relative energy among the computed polymorphs: 0.02 eV/f.u.
* DOS at the Fermi energy: 1.38 states/eV per atom

=====

Entry 6:
This record from the Alexandria database describes an optimized crystal structure of Ce3TaO7. The functional is GGA-PBE.

Cell: 10.9744 7.5298 7.7389 Å, 90.00 90.00 90.00°
Closest atoms and distances in Å follow each position.
Space group Cmcm (No. 63)
Inequivalent atoms, fractional coordinates:
Ce1 0.0000 0.0000 0.0000 x4  4 O 2.42
Ce2 0.2289 0.2927 0.2500 x8  6 O 2.29-2.47
Ta1 0.0000 0.5000 0.0000 x4  6 O 1.99-2.03
O1 0.0000 0.4354 0.2500 x4  2 Ta 1.99
O2 0.1272 0.3084 0.5338 x16  1 Ta 2.03
O3 0.1312 0.0236 0.2500 x8  4 Ce 2.29-2.42

Values from the calculation:
* uncorrected formation energy: -3.264 eV/atom
* crystal system: orthorhombic
* relative energy among the computed polymorphs: 0.04 eV/f.u.
* DOS at the Fermi energy: 1.51 states/eV per atom

=====

Entry 7:
This record from the Alexandria database describes an optimized crystal structure of PmBH. The functional is GGA-PBE.

Cell: 8.8579 6.0451 6.0883 Å, 90.00 90.00 90.00°
Closest atoms and distances in Å follow each position.
Space group Cmce (No. 64)
Inequivalent atoms, fractional coordinates:
Pm1 0.1609 0.0000 0.0000 x8  4 H 2.80-2.83, 4 B 2.85-2.86, 1 Pm 2.85
B1 0.0000 0.1059 0.3944 x8  2 H 1.35-1.36
H1 0.0000 0.1183 0.6151 x8  2 B 1.35-1.36

Values from the calculation:
* crystal system: orthorhombic
* relative energy among the computed polymorphs: 2.08 eV/f.u.
* DOS at the Fermi energy: 0.38 states/eV per atom

=====

Entry 8:
This record from the Alexandria database describes an optimized crystal structure of Ca3TbTh2Sb6. The functional is GGA-PBE.

Cell: 7.8361 13.5689 7.8074 Å, 90.00 109.54 90.00°
Closest atoms and distances in Å follow each position.
Space group C2/m (No. 12)
Inequivalent atoms, fractional coordinates:
Ca1 0.0000 0.0000 0.0000 x2  6 Sb 3.22-3.24
Ca2 0.0000 0.3320 0.0000 x4  6 Sb 3.21-3.23
Tb1 0.0000 0.5000 0.5000 x2  6 Sb 3.15
Th1 0.0000 0.1663 0.5000 x4  6 Sb 3.18
Sb1 0.2460 0.3348 0.7429 x8  1 Tb 3.15, 2 Th 3.18, 3 Ca 3.21-3.23
Sb2 0.2488 0.5000 0.2555 x4  1 Tb 3.15, 2 Th 3.18, 3 Ca 3.22-3.24

Values from the calculation:
* uncorrected formation energy: -0.971 eV/atom
* crystal system: monoclinic
* DOS at the Fermi energy: 0.56 states/eV per atom

=====

Entry 9:
This record from the Alexandria database describes an optimized crystal structure of LiZr2Te. The functional is GGA-PBE.

Cell: 6.0458 7.9867 3.4650 Å, 90.00 90.00 90.00°
Closest atoms and distances in Å follow each position.
Space group Cmmm (No. 65)
Inequivalent atoms, fractional coordinates:
Li1 0.0000 0.0000 0.0000 x2  2 Te 3.02, 8 Zr 3.05
Zr1 0.2500 0.2500 0.5000 x4  2 Zr 3.02, 4 Li 3.05, 4 Te 3.05
Te1 0.0000 0.5000 0.0000 x2  2 Li 3.02, 8 Zr 3.05

Values from the calculation:
* uncorrected formation energy: -0.253 eV/atom
* crystal system: orthorhombic
* DOS at the Fermi energy: 0.76 states/eV per atom

=====

Entry 10:
This record from the Alexandria database describes an optimized crystal structure of NaTaPb2O6. The functional is GGA-PBE.

Cell: 5.6615 5.8711 10.5653 Å, 90.00 122.20 90.00°
Closest atoms and distances in Å follow each position.
Space group P2_1/c (No. 14)
Inequivalent atoms, fractional coordinates:
Na1 0.0000 0.0000 0.0000 x2  2 O 2.25
Ta1 0.5000 0.0000 0.5000 x2  6 O 1.98-2.05
Pb1 0.2065 0.0270 0.7201 x4  5 O 2.30-2.46
O1 0.1763 0.1766 0.4692 x4  1 Ta 1.98
O2 0.2225 0.7467 0.3823 x4  1 Ta 2.04
O3 0.4490 0.1283 0.3066 x4  1 Ta 2.05

Values from the calculation:
* uncorrected formation energy: -1.700 eV/atom
* crystal system: monoclinic
* DOS at the Fermi energy: 0.13 states/eV per atom

=====

Entry 11:
This record from the Alexandria database describes an optimized crystal structure of CdBi2SbMo. The functional is GGA-PBE.

Cell: 5.9278 5.9278 5.2250 Å, 90.00 90.00 90.00°
Closest atoms and distances in Å follow each position.
Space group P4/mmm (No. 123)
Inequivalent atoms, fractional coordinates:
Cd1 0.0000 0.0000 0.0000 x1  8 Bi 3.95, 4 Mo 4.19
Bi1 0.0000 0.5000 0.5000 x2  2 Sb 2.96
Sb1 0.5000 0.5000 0.5000 x1  2 Mo 2.61
Mo1 0.5000 0.5000 0.0000 x1  2 Sb 2.61

Values from the calculation:
* uncorrected formation energy: 1.149 eV/atom
* crystal system: tetragonal
* relative energy among the computed polymorphs: 3.22 eV/f.u.
* DOS at the Fermi energy: 0.79 states/eV per atom

=====

Entry 12:
This record from the Alexandria database describes an optimized crystal structure of MgCrSi2. The functional is GGA-PBE.

Cell: 3.8504 3.9014 3.9348 Å, 90.00 90.00 90.00°
Closest atoms and distances in Å follow each position.
Space group Pmmm (No. 47)
Inequivalent atoms, fractional coordinates:
Mg1 0.0000 0.0000 0.0000 x1  8 Si 2.74-2.75, 4 Cr 2.77
Cr1 0.0000 0.5000 0.5000 x1  8 Si 2.74-2.75, 4 Mg 2.77
Si1 0.5000 0.0000 0.5000 x1  4 Cr 2.74, 4 Mg 2.75, 4 Si 2.77
Si2 0.5000 0.5000 0.0000 x1  4 Mg 2.74, 4 Cr 2.75, 4 Si 2.77

Values from the calculation:
* uncorrected formation energy: 0.153 eV/atom
* crystal system: orthorhombic
* DOS at the Fermi energy: 0.69 states/eV per atom

=====

Q: Which formula does entry 12 have?
A: MgCrSi2

=====

Q: What is the DOS at the Fermi energy in the twelfth record?
A: 0.69 states/eV per atom

=====

Q: The highest DOS at the Fermi energy belongs to which entry?
A: Ce3TaO7